[1]
Material: TbSmNi2Ge4
Method: DFT, PBE
State: relaxed

The space group is Amm2 (No. 38) and the conventional cell measures 4.213, 4.170 and 16.683 Å, with angles of 90.00, 90.00 and 90.00 degrees. The inequivalent atoms are Tb at (0.000, 0.000, 0.000), Sm at (0.500, 0.000, 0.216), Ni at (0.000, 0.000, 0.789), Ni at (0.500, 0.000, 0.428), Ge at (0.000, 0.000, 0.360), Ge at (0.000, 0.000, 0.650), Ge at (0.500, 0.000, 0.566) and Ge at (0.500, 0.000, 0.858).

As for the total energy: -89.6 eV for the cell shown. The theoretical density comes out at 8.13 Mg/m³.



[2]
Material: Cd2CuPd
Method: DFT, PBE
State: relaxed

The space group is F-43m (No. 216) and the conventional cell measures 6.441, 6.441 and 6.441 Å, with angles of 90.00, 90.00 and 90.00 degrees. The inequivalent atoms are Cd at (0.000, 0.000, 0.000), Cd at (0.250, 0.250, 0.250), Cu at (0.250, 0.250, 0.750) and Pd at (0.000, 0.000, 0.500).

The theoretical density comes out at 9.81 Mg/m³. As for the formation energy: -2.62 kcal/mol of atoms.



[3]
Material: LaZrCuPd
Method: DFT, PBE
State: relaxed

The space group is F-43m (No. 216) and the conventional cell measures 6.990, 6.990 and 6.990 Å, with angles of 90.00, 90.00 and 90.00 degrees. The inequivalent atoms are La at (0.000, 0.000, 0.000), Zr at (0.000, 0.000, 0.500), Cu at (0.250, 0.250, 0.750) and Pd at (0.250, 0.250, 0.250).

The theoretical density comes out at 7.78 Mg/m³. Its energy above the most stable polymorph in this dataset is 0.00 eV per formula unit. As for the formation energy: -5.55 kcal/mol of atoms.



[4]
Material: RbTaPb
Method: DFT, PBE
State: relaxed

The space group is F-43m (No. 216) and the conventional cell measures 7.274, 7.274 and 7.274 Å, with angles of 90.00, 90.00 and 90.00 degrees. The inequivalent atoms are Rb at (0.000, 0.000, 0.000), Ta at (0.250, 0.250, 0.750) and Pb at (0.000, 0.000, 0.500).

The theoretical density comes out at 8.17 Mg/m³. Its energy above the most stable polymorph in this dataset is 0.00 eV per formula unit.



[5]
Material: Hf2SnB
Method: DFT, PBE
State: relaxed

The space group is P6_3/mmc (No. 194) and the conventional cell measures 3.4403, 3.4403 and 14.6540 Å, with angles of 90.00, 90.00 and 120.00 degrees. The inequivalent atoms are Hf at (0.3333, 0.6667, 0.0858), Sn at (0.3333, 0.6667, 0.7500) and B at (0.0000, 0.0000, 0.0000).

As for the total energy: -65.9 eV for the cell shown. The theoretical density comes out at 10.76 Mg/m³.



[6]
Material: DyLuPO
Method: DFT, PBE
State: relaxed

The space group is P4/nmm (No. 129, origin choice 2) and the conventional cell measures 4.277, 4.277 and 8.330 Å, with angles of 90.00, 90.00 and 90.00 degrees. The inequivalent atoms are Dy at (0.250, 0.750, 0.000), Lu at (0.250, 0.250, 0.406), P at (0.250, 0.250, 0.797) and O at (0.250, 0.750, 0.500).

The theoretical density comes out at 8.38 Mg/m³. Its energy above the most stable polymorph in this dataset is 0.65 eV per formula unit.



[7]
Material: Sm3Al3Cu2Ge
Method: DFT, PBE
State: relaxed

The space group is P-62m (No. 189) and the conventional cell measures 7.4173, 7.4173 and 3.9563 Å, with angles of 90.00, 90.00 and 120.00 degrees. The inequivalent atoms are Sm at (0.0000, 0.3979, 0.0000), Al at (0.0000, 0.7429, 0.5000), Cu at (0.3333, 0.6667, 0.5000) and Ge at (0.0000, 0.0000, 0.0000).

As for the total energy: -40.9 eV for the cell shown. The theoretical density comes out at 6.45 Mg/m³.



[8]
Material: GdDy2Mg3Al2Hg
Method: DFT, PBE
State: relaxed

The space group is Amm2 (No. 38) and the conventional cell measures 4.527, 12.881 and 7.405 Å, with angles of 90.00, 90.00 and 90.00 degrees. The inequivalent atoms are Gd at (0.000, 0.000, 0.000), Dy at (0.000, 0.213, 0.362), Mg at (0.500, 0.000, 0.330), Mg at (0.500, 0.122, 0.696), Al at (0.500, 0.167, 0.075) and Hg at (0.000, 0.000, 0.573).

As for the total energy: -59.2 eV for the cell shown. The theoretical density comes out at 6.23 Mg/m³.



[9]
Material: CsCuAg2C4N4
Method: DFT, PBE
State: relaxed

The space group is P2/c (No. 13) and the conventional cell measures 7.684, 7.539 and 8.199 Å, with angles of 90.00, 103.80 and 90.00 degrees. The inequivalent atoms are Cs at (0.000, 0.244, 0.250), Cu at (0.000, 0.258, 0.750), Ag at (0.500, 0.000, 0.000), Ag at (0.500, 0.442, 0.250), C at (0.290, 0.079, 0.597), C at (0.292, 0.420, 0.041), N at (0.169, 0.129, 0.650) and N at (0.170, 0.388, 0.927).

As for the total energy: -156.2 eV for the cell shown. The theoretical density comes out at 3.72 Mg/m³.



[10]
Material: Sc7NiCl12
Method: DFT, PBE
State: relaxed

The space group is R-3 (No. 148, hexagonal axes) and the conventional cell measures 13.2541, 13.2541 and 9.0819 Å, with angles of 90.00, 90.00 and 120.00 degrees. The inequivalent atoms are Sc at (0.0000, 0.0000, 0.0000), Sc at (0.0444, 0.1673, 0.3475), Ni at (0.0000, 0.0000, 0.5000), Cl at (0.0229, 0.5849, 0.1588) and Cl at (0.0485, 0.1763, 0.8365).

As for the total energy: -323.3 eV for the cell shown. The theoretical density comes out at 2.88 Mg/m³.